No. 1
## SrCdMoRh2 (PBE-GGA)

Data for a relaxed SrCdMoRh2 crystal.

Cell: 4.883 4.883 5.502 Å, 90.00 90.00 90.00°
Fractional coordinates of all 5 atoms:
Sr: 0.000 0.000 0.000
Cd: 0.000 0.000 0.500
Mo: 0.500 0.500 0.500
Rh: 0.000 0.500 0.000
Rh: 0.500 0.000 0.000



No. 2
## TiCdMoRh2 (PBE-GGA)

Data for a relaxed TiCdMoRh2 crystal.

Cell: 4.570 4.570 4.649 Å, 90.00 90.00 90.00°
Fractional coordinates of all 5 atoms:
Ti: 0.000 0.000 0.000
Cd: 0.500 0.500 0.500
Mo: 0.000 0.000 0.500
Rh: 0.000 0.500 0.000
Rh: 0.500 0.000 0.000



No. 3
## VCdMoRh2 (PBE-GGA)

Data for a relaxed VCdMoRh2 crystal.

Cell: 4.431 4.431 5.006 Å, 90.00 90.00 90.00°
Fractional coordinates of all 5 atoms:
V: 0.000 0.000 0.000
Cd: 0.000 0.000 0.500
Mo: 0.500 0.500 0.500
Rh: 0.000 0.500 0.000
Rh: 0.500 0.000 0.000



No. 4
## CdMo2Ru (PBE-GGA)

Data for a relaxed CdMo2Ru crystal.

Cell: 2.855 2.855 8.137 Å, 90.00 90.00 90.00°
Fractional coordinates of all 4 atoms:
Cd: 0.000 0.000 0.000
Mo: 0.000 0.000 0.535
Mo: 0.500 0.500 0.278
Ru: 0.500 0.500 0.736



No. 5
## CdMo4Ru (PBE-GGA)

Data for a relaxed CdMo4Ru crystal.

Cell: 5.224 5.224 5.224 Å, 60.00 60.00 60.00°
Fractional coordinates of all 6 atoms:
Cd: 0.000 0.000 0.000
Mo: 0.123 0.626 0.626
Mo: 0.626 0.123 0.626
Mo: 0.626 0.626 0.123
Mo: 0.626 0.626 0.626
Ru: 0.250 0.250 0.250



No. 6
## CdMo3Ru (PBE-GGA)

Data for a relaxed CdMo3Ru crystal.

Cell: 4.715 4.715 4.715 Å, 90.00 90.00 90.00°
Fractional coordinates of all 5 atoms:
Cd: 0.000 0.000 0.000
Mo: 0.000 0.500 0.500
Mo: 0.500 0.000 0.500
Mo: 0.500 0.500 0.000
Ru: 0.500 0.500 0.500



no.,total magnetic moment (μB/atom),uncorrected energy (eV per atom),formation energy from the elements (eV per atom)
1,0.017,-3.463,2.16
2,0.378,-6.083,0.79
3,0.739,-5.952,1.16
4,0.000,-7.692,0.27
5,0.000,-8.508,0.41
6,0.000,-7.068,1.47